# 1
# PBE CaCu2Os, relaxed
# Polymorph energy (0 for the lowest one) in meV/atom: 64.3
# Electronic total energy in eV per formula unit: -19.78
# DFT formation energy in kJ/mol of atoms: 39.7
data_CaCu2Os
_chemical_formula_sum 'Ca1 Cu2 Os1'
_cell_length_a 2.764
_cell_length_b 3.167
_cell_length_c 7.369
_cell_angle_alpha 90.00
_cell_angle_beta 90.00
_cell_angle_gamma 90.00
_symmetry_space_group_name_H-M 'P m m 2'
_symmetry_Int_Tables_number 25
_symmetry_space_group_name_Hall 'P 2 -2'
loop_
_atom_site_label
_atom_site_fract_x
_atom_site_fract_y
_atom_site_fract_z
Ca1 0.000 0.000 0.000
Cu1 0.000 0.000 0.488
Cu2 0.500 0.500 0.306
Os1 0.500 0.500 0.699

---

# 2
# PBE Ca2Cu2Os, relaxed
# Polymorph energy (0 for the lowest one) in meV/atom: 113.4
# Electronic total energy in eV per formula unit: -21.70
# DFT formation energy in kJ/mol of atoms: 33.3
data_Ca2Cu2Os
_chemical_formula_sum 'Ca4 Cu4 Os2'
_cell_length_a 3.361
_cell_length_b 3.361
_cell_length_c 17.811
_cell_angle_alpha 90.00
_cell_angle_beta 90.00
_cell_angle_gamma 90.00
_symmetry_space_group_name_H-M 'I 4/m m m'
_symmetry_Int_Tables_number 139
_symmetry_space_group_name_Hall '-I 4 2'
loop_
_atom_site_label
_atom_site_fract_x
_atom_site_fract_y
_atom_site_fract_z
Ca1 0.000 0.000 0.100
Cu1 0.000 0.500 0.250
Os1 0.000 0.000 0.500

---

# 3
# PBE CaCuOs3, relaxed
# Polymorph energy (0 for the lowest one) in meV/atom: 0.0
# Electronic total energy in eV per formula unit: -31.60
# DFT formation energy in kJ/mol of atoms: 158.0
data_CaCuOs3
_chemical_formula_sum 'Ca1 Cu1 Os3'
_cell_length_a 4.554
_cell_length_b 4.554
_cell_length_c 4.554
_cell_angle_alpha 90.00
_cell_angle_beta 90.00
_cell_angle_gamma 90.00
_symmetry_space_group_name_H-M 'P m -3 m'
_symmetry_Int_Tables_number 221
_symmetry_space_group_name_Hall '-P 4 2 3'
loop_
_atom_site_label
_atom_site_fract_x
_atom_site_fract_y
_atom_site_fract_z
Ca1 0.000 0.000 0.000
Cu1 0.500 0.500 0.500
Os1 0.000 0.500 0.500

---

# 4
# PBE Ca2Cu2Os, relaxed
# Polymorph energy (0 for the lowest one) in meV/atom: 412.8
# Electronic total energy in eV per formula unit: -20.20
# DFT formation energy in kJ/mol of atoms: 62.2
data_Ca2Cu2Os
_chemical_formula_sum 'Ca4 Cu4 Os2'
_cell_length_a 8.085
_cell_length_b 8.085
_cell_length_c 2.941
_cell_angle_alpha 90.00
_cell_angle_beta 90.00
_cell_angle_gamma 90.00
_symmetry_space_group_name_H-M 'P 4/m b m'
_symmetry_Int_Tables_number 127
_symmetry_space_group_name_Hall '-P 4 2ab'
loop_
_atom_site_label
_atom_site_fract_x
_atom_site_fract_y
_atom_site_fract_z
Ca1 0.185 0.315 0.000
Cu1 0.108 0.608 0.500
Os1 0.000 0.000 0.000

---

# 5
# PBE CaCuOs2, relaxed
# Polymorph energy (0 for the lowest one) in meV/atom: 358.7
# Electronic total energy in eV per formula unit: -25.93
# DFT formation energy in kJ/mol of atoms: 63.4
data_CaCuOs2
_chemical_formula_sum 'Ca1 Cu1 Os2'
_cell_length_a 2.722
_cell_length_b 2.722
_cell_length_c 8.585
_cell_angle_alpha 90.00
_cell_angle_beta 90.00
_cell_angle_gamma 90.00
_symmetry_space_group_name_H-M 'P 4/m m m'
_symmetry_Int_Tables_number 123
_symmetry_space_group_name_Hall '-P 4 2'
loop_
_atom_site_label
_atom_site_fract_x
_atom_site_fract_y
_atom_site_fract_z
Ca1 0.000 0.000 0.000
Cu1 0.000 0.000 0.500
Os1 0.500 0.500 0.284

---

# 6
# PBE CaCu2Os, relaxed
# Polymorph energy (0 for the lowest one) in meV/atom: 153.1
# Electronic total energy in eV per formula unit: -19.42
# DFT formation energy in kJ/mol of atoms: 48.3
data_CaCu2Os
_chemical_formula_sum 'Ca2 Cu4 Os2'
_cell_length_a 2.740
_cell_length_b 4.972
_cell_length_c 9.967
_cell_angle_alpha 90.00
_cell_angle_beta 90.00
_cell_angle_gamma 90.00
_symmetry_space_group_name_H-M 'I m m m'
_symmetry_Int_Tables_number 71
_symmetry_space_group_name_Hall '-I 2 2'
loop_
_atom_site_label
_atom_site_fract_x
_atom_site_fract_y
_atom_site_fract_z
Ca1 0.000 0.000 0.000
Cu1 0.000 0.500 0.219
Os1 0.000 0.000 0.500

---

# 7
# PBE CaCu2Os, relaxed
# Polymorph energy (0 for the lowest one) in meV/atom: 363.1
# Electronic total energy in eV per formula unit: -18.58
# DFT formation energy in kJ/mol of atoms: 68.6
data_CaCu2Os
_chemical_formula_sum 'Ca4 Cu8 Os4'
_cell_length_a 4.410
_cell_length_b 4.410
_cell_length_c 17.156
_cell_angle_alpha 90.00
_cell_angle_beta 90.00
_cell_angle_gamma 90.00
_symmetry_space_group_name_H-M 'I -4 2 d'
_symmetry_Int_Tables_number 122
_symmetry_space_group_name_Hall 'I -4 2bw'
loop_
_atom_site_label
_atom_site_fract_x
_atom_site_fract_y
_atom_site_fract_z
Ca1 0.000 0.000 0.000
Cu1 0.096 0.250 0.625
Os1 0.000 0.000 0.500

---

# 8
# PBE CaCu2Os, relaxed
# Polymorph energy (0 for the lowest one) in meV/atom: 121.3
# Electronic total energy in eV per formula unit: -19.55
# DFT formation energy in kJ/mol of atoms: 45.2
data_CaCu2Os
_chemical_formula_sum 'Ca4 Cu8 Os4'
_cell_length_a 6.358
_cell_length_b 6.358
_cell_length_c 6.358
_cell_angle_alpha 90.00
_cell_angle_beta 90.00
_cell_angle_gamma 90.00
_symmetry_space_group_name_H-M 'F m -3 m'
_symmetry_Int_Tables_number 225
_symmetry_space_group_name_Hall '-F 4 2 3'
loop_
_atom_site_label
_atom_site_fract_x
_atom_site_fract_y
_atom_site_fract_z
Ca1 0.000 0.000 0.000
Cu1 0.250 0.250 0.250
Os1 0.000 0.000 0.500